# PBE Ca2CdPb, relaxed
# * energy relative to the lowest polymorph listed for this composition: 65 kJ/mol of formula units
# * formation enthalpy at 0 K: -0.3348 eV per atom
# * Fermi-level density of states: 0.561 states/eV/atom
data_Ca2CdPb
_chemical_formula_sum 'Ca4 Cd2 Pb2'
_symmetry_space_group_name_H-M 'I -4 m 2'
_symmetry_Int_Tables_number 119
_symmetry_space_group_name_Hall 'I -4 -2'
_cell_length_a 4.776
_cell_length_b 4.776
_cell_length_c 10.434
_cell_angle_alpha 90.00
_cell_angle_beta 90.00
_cell_angle_gamma 90.00
loop_
_atom_site_label
_atom_site_type_symbol
_atom_site_fract_x
_atom_site_fract_y
_atom_site_fract_z
_atom_site_occupancy
Ca1 Ca 0.000 0.000 0.000 1
Ca2 Ca 0.000 0.500 0.250 1
Cd1 Cd 0.000 0.500 0.750 1
Pb1 Pb 0.000 0.000 0.500 1

---

# PBE Ca2Cd2Pb, relaxed
# * energy relative to the lowest polymorph listed for this composition: 32 kJ/mol of formula units
# * formation enthalpy at 0 K: -0.3270 eV per atom
# * Fermi-level density of states: 0.583 states/eV/atom
data_Ca2Cd2Pb
_chemical_formula_sum 'Ca4 Cd4 Pb2'
_symmetry_space_group_name_H-M 'P 4/m b m'
_symmetry_Int_Tables_number 127
_symmetry_space_group_name_Hall '-P 4 2ab'
_cell_length_a 8.264
_cell_length_b 8.264
_cell_length_c 4.263
_cell_angle_alpha 90.00
_cell_angle_beta 90.00
_cell_angle_gamma 90.00
loop_
_atom_site_label
_atom_site_type_symbol
_atom_site_fract_x
_atom_site_fract_y
_atom_site_fract_z
_atom_site_occupancy
Ca1 Ca 0.173 0.327 0.000 1
Cd1 Cd 0.124 0.624 0.500 1
Pb1 Pb 0.000 0.000 0.500 1

---

# PBE Ca3Cd2Pb4, relaxed
# * energy relative to the lowest polymorph listed for this composition: 29 kJ/mol of formula units
# * formation enthalpy at 0 K: -0.3135 eV per atom
# * Fermi-level density of states: 0.433 states/eV/atom
data_Ca3Cd2Pb4
_chemical_formula_sum 'Ca3 Cd2 Pb4'
_symmetry_space_group_name_H-M 'P -1'
_symmetry_Int_Tables_number 2
_symmetry_space_group_name_Hall '-P 1'
_cell_length_a 4.839
_cell_length_b 7.506
_cell_length_c 8.002
_cell_angle_alpha 108.63
_cell_angle_beta 101.36
_cell_angle_gamma 93.41
loop_
_atom_site_label
_atom_site_type_symbol
_atom_site_fract_x
_atom_site_fract_y
_atom_site_fract_z
_atom_site_occupancy
Ca1 Ca 0.000 0.000 0.000 1
Ca2 Ca 0.092 0.622 0.253 1
Cd1 Cd 0.298 0.008 0.645 1
Pb1 Pb 0.289 0.288 0.419 1
Pb2 Pb 0.486 0.696 0.965 1

---

# PBE Ca2CdPb, relaxed
# * energy relative to the lowest polymorph listed for this composition: 88 kJ/mol of formula units
# * formation enthalpy at 0 K: -0.2762 eV per atom
# * Fermi-level density of states: 0.712 states/eV/atom
data_Ca2CdPb
_chemical_formula_sum 'Ca2 Cd1 Pb1'
_symmetry_space_group_name_H-M 'P m m 2'
_symmetry_Int_Tables_number 25
_symmetry_space_group_name_Hall 'P 2 -2'
_cell_length_a 3.817
_cell_length_b 5.052
_cell_length_c 6.588
_cell_angle_alpha 90.00
_cell_angle_beta 90.00
_cell_angle_gamma 90.00
loop_
_atom_site_label
_atom_site_type_symbol
_atom_site_fract_x
_atom_site_fract_y
_atom_site_fract_z
_atom_site_occupancy
Ca1 Ca 0.000 0.000 0.000 1
Ca2 Ca 0.500 0.500 0.353 1
Cd1 Cd 0.000 0.000 0.511 1
Pb1 Pb 0.500 0.500 0.843 1